Record 1
# ZnNiGeSe3 (PBE, optimized geometry)
# offset from the most stable computed form: 0.0124 eV per atom
data_ZnNiGeSe3
_chemical_formula_sum 'Zn2 Ni2 Ge2 Se6'
_cell_length_a 3.755
_cell_length_b 9.514
_cell_length_c 6.776
_cell_angle_alpha 90.00
_cell_angle_beta 106.09
_cell_angle_gamma 90.00
_symmetry_space_group_name_H-M 'P 1'
_symmetry_Int_Tables_number 1
loop_
_symmetry_equiv_pos_as_xyz
'x,y,z'
loop_
_atom_site_label
_atom_site_type_symbol
_atom_site_fract_x
_atom_site_fract_y
_atom_site_fract_z
Zn1 Zn 0.479 0.500 0.959
Zn2 Zn 0.521 0.000 0.041
Se1 Se 0.903 0.000 0.805
Se2 Se 0.364 0.701 0.728
Se3 Se 0.636 0.201 0.272
Se4 Se 0.097 0.500 0.195
Se5 Se 0.364 0.299 0.728
Se6 Se 0.636 0.799 0.272
Ni1 Ni 0.000 0.250 0.000
Ni2 Ni 0.000 0.750 0.000
Ge1 Ge 0.773 0.500 0.546
Ge2 Ge 0.227 0.000 0.454

Record 2
# ZnNiGeSe3 (PBE, optimized geometry)
# offset from the most stable computed form: 0.0000 eV per atom
data_ZnNiGeSe3
_chemical_formula_sum 'Zn2 Ni2 Ge2 Se6'
_cell_length_a 3.619
_cell_length_b 7.334
_cell_length_c 9.210
_cell_angle_alpha 90.00
_cell_angle_beta 90.00
_cell_angle_gamma 75.72
_symmetry_space_group_name_H-M 'P 1'
_symmetry_Int_Tables_number 1
loop_
_symmetry_equiv_pos_as_xyz
'x,y,z'
loop_
_atom_site_label
_atom_site_type_symbol
_atom_site_fract_x
_atom_site_fract_y
_atom_site_fract_z
Ni1 Ni 0.473 0.054 0.750
Ni2 Ni 0.527 0.946 0.250
Zn1 Zn 0.000 0.000 0.000
Zn2 Zn 0.000 0.000 0.500
Se1 Se 0.355 0.291 0.935
Se2 Se 0.919 0.161 0.250
Se3 Se 0.645 0.709 0.435
Se4 Se 0.081 0.839 0.750
Se5 Se 0.645 0.709 0.065
Se6 Se 0.355 0.291 0.565
Ge1 Ge 0.777 0.445 0.750
Ge2 Ge 0.223 0.555 0.250

Q: What is the formula in the first record?
A: ZnNiGeSe3